1.
# PBEsol BeOs2Br, optimized geometry
data_BeOs2Br
_symmetry_space_group_name_H-M 'P m m m'
_symmetry_Int_Tables_number 47
_cell_length_a 2.7493
_cell_length_b 4.3870
_cell_length_c 4.7598
_cell_angle_alpha 90.00
_cell_angle_beta 90.00
_cell_angle_gamma 90.00
loop_
_symmetry_equiv_pos_as_xyz
'x,y,z'
'-x,-y,-z'
'-x,-y,z'
'x,y,-z'
'x,-y,-z'
'-x,y,z'
'-x,y,-z'
'x,-y,z'
loop_
_atom_site_label
_atom_site_type_symbol
_atom_site_fract_x
_atom_site_fract_y
_atom_site_fract_z
Be1 Be 0.0000 0.0000 0.0000
Os1 Os 0.0000 0.5000 0.5000
Os2 Os 0.5000 0.5000 0.0000
Br1 Br 0.5000 0.0000 0.5000
# DOS(E_F) = 1.05 states/eV/atom
# E above lowest polymorph = 0.840 eV per formula unit
# VASP energy = -6.519 eV per atom
# total magnetization = 0.00 Bohr magnetons per cell

=====

2.
# PBEsol Sr2LiW, optimized geometry
data_Sr2LiW
_symmetry_space_group_name_H-M 'F m -3 m'
_symmetry_Int_Tables_number 225
_symmetry_space_group_name_Hall '-F 4 2 3'
_cell_length_a 7.7434
_cell_length_b 7.7434
_cell_length_c 7.7434
_cell_angle_alpha 90.00
_cell_angle_beta 90.00
_cell_angle_gamma 90.00
loop_
_atom_site_label
_atom_site_type_symbol
_atom_site_fract_x
_atom_site_fract_y
_atom_site_fract_z
Sr1 Sr 0.2500 0.2500 0.2500
Li1 Li 0.0000 0.0000 0.0000
W1 W 0.0000 0.0000 0.5000
# DOS(E_F) = 0.78 states/eV/atom
# E above lowest polymorph = 0.245 eV per formula unit
# VASP energy = -3.813 eV per atom
# formation energy from the elements = 405 kJ/mol of formula units
# total magnetization = 12.02 Bohr magnetons per cell

=====

3.
# PBEsol Cs3V2Cl9, optimized geometry
data_Cs3V2Cl9
_symmetry_space_group_name_H-M 'P 63/m m c'
_symmetry_Int_Tables_number 194
_symmetry_space_group_name_Hall '-P 6c 2c'
_cell_length_a 7.1676
_cell_length_b 7.1676
_cell_length_c 17.7837
_cell_angle_alpha 90.00
_cell_angle_beta 90.00
_cell_angle_gamma 120.00
loop_
_atom_site_label
_atom_site_type_symbol
_atom_site_fract_x
_atom_site_fract_y
_atom_site_fract_z
Cs1 Cs 0.0000 0.0000 0.2500
Cs2 Cs 0.3333 0.6667 0.0731
V1 V 0.3333 0.6667 0.6649
Cl1 Cl 0.0290 0.5145 0.7500
Cl2 Cl 0.1782 0.3564 0.5941
# DOS(E_F) = 0.89 states/eV/atom
# VASP energy = -4.501 eV per atom
# total magnetization = 8.00 Bohr magnetons per cell